(1)
Ni4PdN | PBE-GGA | relaxed

E_tot ... -72.851 eV for the cell shown
Formation energy without anion corrections ... 36 meV per atom

Cell: 4.633 5.134 6.963 Å, 59.75 70.57 90.01°
Sites, in units of the cell vectors:
Ni  0.488  0.742  0.196
Ni  0.684  0.758  0.804
Ni  0.512  0.258  0.804
Ni  0.316  0.242  0.196
Ni  0.882  0.750  0.404
Ni  0.286  0.750  0.596
Ni  0.118  0.250  0.596
Ni  0.714  0.250  0.404
Pd  0.896  0.250  0.000
Pd  0.104  0.750  0.000
N  0.500  0.500  0.500
N  0.000  0.000  0.500



(2)
Na7TeBr5 | PBE-GGA | relaxed

E_tot ... -77.457 eV for the cell shown
Formation energy without anion corrections ... -1384 meV per atom

Cell: 4.368 7.407 24.441 Å, 89.99 90.00 107.15°
Sites, in units of the cell vectors:
Na  0.440  0.880  0.250
Na  0.560  0.121  0.750
Na  0.633  0.265  0.036
Na  0.368  0.736  0.964
Na  0.368  0.736  0.536
Na  0.632  0.265  0.464
Na  0.189  0.379  0.179
Na  0.811  0.623  0.821
Na  0.811  0.622  0.679
Na  0.189  0.379  0.321
Na  0.902  0.804  0.117
Na  0.099  0.198  0.883
Na  0.099  0.197  0.617
Na  0.902  0.804  0.383
Te  0.794  0.589  0.250
Te  0.206  0.413  0.750
Br  0.000  0.001  0.000
Br  0.727  0.455  0.928
Br  0.274  0.547  0.072
Br  0.543  0.085  0.352
Br  0.458  0.916  0.648
Br  0.000  0.000  0.500
Br  0.273  0.547  0.428
Br  0.727  0.454  0.572
Br  0.458  0.916  0.852
Br  0.543  0.085  0.148



(3)
LiLaHg | PBE-GGA | relaxed

E_tot ... -7.597 eV for the cell shown

Cell: 5.081 5.081 5.081 Å, 60.00 60.00 60.00°
Sites, in units of the cell vectors:
Hg  0.750  0.750  0.750
La  0.000  0.000  0.000
Li  0.500  0.500  0.500



(4)
ZrWCl2 | PBE-GGA | relaxed

E_tot ... -26.748 eV for the cell shown
Formation energy without anion corrections ... -388 meV per atom

Cell: 3.023 3.023 9.228 Å, 90.00 90.00 90.00°
Sites, in units of the cell vectors:
Zr  0.500  0.500  0.742
W  0.000  0.000  0.503
Cl  0.000  0.000  0.927
Cl  0.500  0.500  0.328